RbSmMo2O8, optimized geometry, DFT GGA+U; calculated volume = 17.62 Å³/atom; E_tot = -7.13 eV per atom; symmetry = No. 60; density = 4.4 g/cm3
1.0
5.208 0.000 0.000
0.000 19.592 0.000
0.000 0.000 8.288
Rb Sm Mo O
4 4 8 32
direct
0.000 0.226 0.250
0.000 0.774 0.750
0.500 0.274 0.750
0.500 0.726 0.250
0.000 0.004 0.750
0.000 0.996 0.250
0.500 0.496 0.250
0.500 0.504 0.750
0.022 0.402 0.510
0.022 0.598 0.010
0.478 0.098 0.010
0.478 0.902 0.510
0.522 0.098 0.490
0.522 0.902 0.990
0.978 0.402 0.990
0.978 0.598 0.490
0.096 0.318 0.983
0.096 0.682 0.483
0.228 0.406 0.337
0.228 0.594 0.837
0.238 0.411 0.681
0.238 0.589 0.181
0.250 0.036 0.502
0.250 0.464 0.002
0.250 0.536 0.502
0.250 0.964 0.002
0.262 0.089 0.181
0.262 0.911 0.681
0.272 0.094 0.837
0.272 0.906 0.337
0.404 0.182 0.483
0.404 0.818 0.983
0.596 0.182 0.017
0.596 0.818 0.517
0.728 0.094 0.663
0.728 0.906 0.163
0.738 0.089 0.319
0.738 0.911 0.819
0.750 0.036 0.998
0.750 0.464 0.498
0.750 0.536 0.998
0.750 0.964 0.498
0.762 0.411 0.819
0.762 0.589 0.319
0.772 0.406 0.163
0.772 0.594 0.663
0.904 0.318 0.517
0.904 0.682 0.017

---

RbSmMo2O8, optimized geometry, DFT GGA+U; calculated volume = 14.43 Å³/atom; E_tot = -7.11 eV per atom; symmetry = No. 15; density = 5.3 g/cm3
1.0
5.466 -5.303 0.000
5.466 5.303 0.000
-5.217 0.000 5.973
Rb Sm Mo O
2 2 4 16
direct
0.193 0.807 0.750
0.807 0.193 0.250
0.228 0.772 0.250
0.772 0.228 0.750
0.306 0.310 0.764
0.310 0.306 0.264
0.690 0.694 0.736
0.694 0.690 0.236
0.057 0.209 0.700
0.074 0.384 0.127
0.209 0.057 0.200
0.234 0.392 0.570
0.370 0.583 0.031
0.384 0.074 0.627
0.392 0.234 0.070
0.417 0.630 0.469
0.583 0.370 0.531
0.608 0.766 0.930
0.616 0.926 0.373
0.630 0.417 0.969
0.766 0.608 0.430
0.791 0.943 0.800
0.926 0.616 0.873
0.943 0.791 0.300

---

Rb2SnMoO6, optimized geometry, DFT GGA+U; calculated volume = 17.41 Å³/atom; E_tot = -5.90 eV per atom; symmetry = No. 107; density = 4.6 g/cm3
1.0
-2.711 2.711 5.923
2.711 -2.711 5.923
2.711 2.711 -5.923
Rb Sn Mo O
2 1 1 6
direct
0.000 0.500 0.500
0.500 0.000 0.500
0.248 0.248 0.000
0.765 0.765 0.000
0.049 0.049 0.486
0.049 0.563 0.000
0.085 0.085 0.000
0.563 0.049 0.000
0.563 0.563 0.514
0.616 0.616 0.000

---

RbSnMoO6, optimized geometry, DFT GGA+U; calculated volume = 18.28 Å³/atom; E_tot = -6.07 eV per atom; symmetry = No. 5; density = 4.0 g/cm3
1.0
2.773 -4.855 0.000
2.773 4.855 0.000
-0.134 0.000 6.109
Rb Sn Mo O
1 1 1 6
direct
0.000 0.000 0.000
0.322 0.678 0.500
0.678 0.322 0.500
0.413 0.016 0.312
0.416 0.405 0.661
0.595 0.584 0.339
0.608 0.028 0.691
0.972 0.392 0.309
0.984 0.587 0.688